Entry from Alexandria via LeMat-Bulk: a relaxed structure of SrY2Ta (GGA-PBEsol).

V = 220.4 Å³ per cell
Energy above the most stable polymorph in this dataset = 1.18 eV/f.u.
E_form = 0.6591 eV per atom

Cell: 4.7808 4.7808 9.6430 Å, 90.00 90.00 90.00°
Closest atoms and distances in Å follow each position.
Sites, in units of the cell vectors:
Sr (0.0000, 0.0000, 0.0000)  8 Y 3.38-3.39, 4 Ta 3.39
Sr (0.5000, 0.5000, 0.5000)  8 Y 3.38-3.39, 4 Ta 3.39
Y (0.0000, 0.0000, 0.5000)  4 Sr 3.38, 4 Ta 3.39, 4 Y 3.39
Y (0.0000, 0.5000, 0.7500)  4 Ta 3.38, 4 Sr 3.39, 4 Y 3.39
Y (0.5000, 0.0000, 0.2500)  4 Ta 3.38, 4 Sr 3.39, 4 Y 3.39
Y (0.5000, 0.5000, 0.0000)  4 Sr 3.38, 4 Ta 3.39, 4 Y 3.39
Ta (0.0000, 0.5000, 0.2500)  8 Y 3.38-3.39, 4 Sr 3.39
Ta (0.5000, 0.0000, 0.7500)  8 Y 3.38-3.39, 4 Sr 3.39